(1)
# Pr2CuBi (PBE, relaxed)
data_Pr2CuBi
_cell_length_a 5.2169
_cell_length_b 5.2169
_cell_length_c 4.1395
_cell_angle_alpha 90.00
_cell_angle_beta 90.00
_cell_angle_gamma 90.00
_symmetry_space_group_name_H-M 'P 4/m m m'
_symmetry_Int_Tables_number 123
_symmetry_space_group_name_Hall '-P 4 2'
loop_
_atom_site_label
_atom_site_type_symbol
_atom_site_fract_x
_atom_site_fract_y
_atom_site_fract_z
_atom_site_occupancy
Pr1 Pr 0.0000 0.5000 0.0000 1
Cu1 Cu 0.0000 0.0000 0.5000 1
Bi1 Bi 0.5000 0.5000 0.5000 1
# Energy relative to the lowest polymorph listed for this composition   0.0 meV/atom
# Crystal system   tetragonal
# Formation energy from the elements   -0.397 eV per atom

(2)
# K4ReAg (PBE, relaxed)
data_K4ReAg
_cell_length_a 9.9776
_cell_length_b 9.9776
_cell_length_c 9.9776
_cell_angle_alpha 90.00
_cell_angle_beta 90.00
_cell_angle_gamma 90.00
_symmetry_space_group_name_H-M 'F -4 3 m'
_symmetry_Int_Tables_number 216
_symmetry_space_group_name_Hall 'F -4 2 3'
loop_
_atom_site_label
_atom_site_type_symbol
_atom_site_fract_x
_atom_site_fract_y
_atom_site_fract_z
_atom_site_occupancy
K1 K 0.1250 0.1250 0.1250 1
Re1 Re 0.2500 0.2500 0.7500 1
Ag1 Ag 0.0000 0.0000 0.5000 1
# Crystal system   cubic
# Formation energy from the elements   1.327 eV per atom

> formation energy from the elements of number 2 (K4ReAg)?

1.327 eV per atom

> Which of these has the highest formation energy from the elements?

K4ReAg